1.
Crystalline ZrMn2Cd2 at its relaxed geometry, computed with PBE.

Calculated values
E (eV/atom): -5.400
Relative energy among the computed polymorphs (meV/atom): 63.0

Cell: 4.0497 4.0497 11.1332 Å, 90.00 90.00 90.00°
Closest atoms and distances in Å follow each position.
Space group I4/mmm (No. 139)
One atom of each set of equivalent atoms:
Zr 0.0000 0.0000 0.0000 x2  8 Mn 3.02
Mn 0.0000 0.0000 0.4135 x4  1 Mn 1.93
Cd 0.0000 0.5000 0.2500 x4  4 Mn 2.72, 4 Cd 2.86

***

2.
Crystalline La2SmBr at its relaxed geometry, computed with PBE.

Calculated values
E (eV/atom): -4.645
Relative energy among the computed polymorphs (meV/atom): 3.6
Uncorrected formation energy (eV/atom): -0.58

Cell: 3.7812 3.7812 32.3666 Å, 90.00 90.00 120.00°
Closest atoms and distances in Å follow each position.
Space group R-3m (No. 166, hexagonal axes)
One atom of each set of equivalent atoms:
La 0.0000 0.0000 0.2423 x6  3 Br 3.28, 3 Sm 3.67
Sm 0.0000 0.0000 0.0000 x3  6 La 3.67, 6 Sm 3.78
Br 0.0000 0.0000 0.5000 x3  6 La 3.28

***

3.
Crystalline K2TcRu at its relaxed geometry, computed with PBE.

Calculated values
E (eV/atom): -4.091
Relative energy among the computed polymorphs (meV/atom): 641.0

Cell: 2.8324 2.8324 35.2045 Å, 90.00 90.00 120.00°
Closest atoms and distances in Å follow each position.
Space group R-3m (No. 166, hexagonal axes)
One atom of each set of equivalent atoms:
K 0.0000 0.0000 0.2480 x6  6 K 2.83
Tc 0.0000 0.0000 0.0000 x3  6 Tc 2.83
Ru 0.0000 0.0000 0.5000 x3  6 Ru 2.83

***

4.
Crystalline TlSiSn2Bi at its relaxed geometry, computed with PBE.

Calculated values
E (eV/atom): -3.575
Uncorrected formation energy (eV/atom): 0.36

Cell: 5.3700 5.3700 5.1995 Å, 90.00 90.00 90.00°
Closest atoms and distances in Å follow each position.
Space group P4/mmm (No. 123)
One atom of each set of equivalent atoms:
Tl 0.0000 0.0000 0.0000 x1  2 Si 2.60
Si 0.0000 0.0000 0.5000 x1  2 Tl 2.60, 4 Sn 2.68
Sn 0.0000 0.5000 0.5000 x2  2 Si 2.68
Bi 0.5000 0.5000 0.0000 x1  8 Sn 3.74, 4 Tl 3.80

***

5.
Crystalline K8Au2Br at its relaxed geometry, computed with PBE.

Calculated values
E (eV/atom): -1.962
Uncorrected formation energy (eV/atom): -0.42

Cell: 26.0090 4.6103 9.3721 Å, 90.00 90.42 90.00°
Closest atoms and distances in Å follow each position.
Space group C2/m (No. 12)
One atom of each set of equivalent atoms:
K 0.0140 0.0000 0.2512 x4  2 Br 3.31, 1 Au 3.49
K 0.1199 0.5000 0.5129 x4  2 Au 3.40
K 0.1276 0.5000 0.9981 x4  1 Br 3.32, 2 Au 3.39
K 0.2494 0.5000 0.2669 x4  2 Au 3.50
Au 0.1481 0.0000 0.2578 x4  7 K 3.39-3.50
Br 0.0000 0.5000 0.0000 x2  6 K 3.31-3.32

***

6.
Crystalline BaHg2Pb3 at its relaxed geometry, computed with PBE.

Calculated values
E (eV/atom): -2.500

Cell: 18.5638 5.0451 9.8641 Å, 90.00 122.08 90.00°
Closest atoms and distances in Å follow each position.
Space group C2/m (No. 12)
One atom of each set of equivalent atoms:
Ba 0.1358 0.0000 0.1358 x4  8 Pb 3.61-3.97, 6 Hg 3.62-3.65
Hg 0.0001 0.5000 0.1505 x4  1 Hg 2.97, 4 Pb 3.09-3.14
Hg 0.1968 0.0000 0.6968 x4  8 Pb 3.25-3.56
Pb 0.9997 0.0000 0.3391 x4  4 Hg 3.14-3.48, 1 Pb 3.17
Pb 0.1742 0.5000 0.4697 x4  3 Hg 3.09-3.25
Pb 0.1740 0.5000 0.8783 x4  3 Hg 3.09-3.25

***

7.
Crystalline TiTe2O6 at its relaxed geometry, computed with PBE.

Calculated values
E (eV/atom): -6.431
Uncorrected formation energy (eV/atom): -1.55

Cell: 11.1861 9.5006 5.4043 Å, 90.00 93.56 90.00°
Closest atoms and distances in Å follow each position.
Space group C2/c (No. 15)
One atom of each set of equivalent atoms:
Ti 0.0000 0.0821 0.2500 x4  6 O 1.93-2.04
Te 0.2286 0.3909 0.2881 x8  3 O 1.90-1.99
O 0.1009 0.0364 0.9661 x8  2 Ti 1.93-2.01
O 0.1196 0.2403 0.3325 x8  1 Te 1.90, 1 Ti 2.04
O 0.1437 0.4704 0.9899 x8  2 Te 1.97-1.99

***

8.
Crystalline MnOs3 at its relaxed geometry, computed with PBE.

Calculated values
E (eV/atom): -10.188

Cell: 6.1075 6.1075 6.1075 Å, 90.00 90.00 90.00°
Closest atoms and distances in Å follow each position.
Space group Fm-3m (No. 225)
One atom of each set of equivalent atoms:
Mn 0.0000 0.0000 0.0000 x4  8 Os 2.64
Os 0.0000 0.0000 0.5000 x4  8 Os 2.64
Os 0.2500 0.2500 0.2500 x8  4 Mn 2.64, 4 Os 2.64

***

9.
Crystalline BaSrCa2Mg at its relaxed geometry, computed with PBE.

Calculated values
E (eV/atom): -1.669

Cell: 6.2611 6.2611 6.4487 Å, 90.00 90.00 90.00°
Closest atoms and distances in Å follow each position.
Space group P4/mmm (No. 123)
One atom of each set of equivalent atoms:
Ba 0.0000 0.0000 0.0000 x1  4 Sr 4.43, 8 Ca 4.49
Sr 0.5000 0.5000 0.0000 x1  2 Mg 3.22
Ca 0.0000 0.5000 0.5000 x2  2 Mg 3.13
Mg 0.5000 0.5000 0.5000 x1  4 Ca 3.13, 2 Sr 3.22

***

10.
Crystalline Ce2DyGa at its relaxed geometry, computed with PBE.

Calculated values
E (eV/atom): -4.831
Relative energy among the computed polymorphs (meV/atom): 331.7

Cell: 3.2168 3.2168 34.5814 Å, 90.00 90.00 120.00°
Closest atoms and distances in Å follow each position.
Space group R-3m (No. 166, hexagonal axes)
One atom of each set of equivalent atoms:
Ce 0.0000 0.0000 0.0928 x6  3 Ga 3.16, 1 Dy 3.21, 6 Ce 3.22
Dy 0.0000 0.0000 0.0000 x3  2 Ce 3.21, 6 Dy 3.22
Ga 0.0000 0.0000 0.5000 x3  6 Ce 3.16, 6 Ga 3.22

***

11.
Crystalline Pm6Tm8Sc at its relaxed geometry, computed with PBE.

Calculated values
E (eV/atom): -4.590

Cell: 8.9867 8.9867 20.5801 Å, 90.00 90.00 120.00°
Closest atoms and distances in Å follow each position.
Space group R-3 (No. 148, hexagonal axes)
One atom of each set of equivalent atoms:
Pm 0.0668 0.8150 0.2102 x18  4 Tm 3.34-3.63, 1 Sc 3.39, 4 Pm 3.52-3.73
Tm 0.0000 0.0000 0.0768 x6  4 Tm 3.16-3.40, 3 Pm 3.41
Tm 0.0821 0.5254 0.3070 x18  3 Pm 3.34-3.63, 5 Tm 3.39-3.41, 1 Sc 3.49
Sc 0.0000 0.0000 0.5000 x3  6 Pm 3.39, 6 Tm 3.49

***

12.
Crystalline LiPtCl at its relaxed geometry, computed with PBE.

Calculated values
E (eV/atom): -4.025
Relative energy among the computed polymorphs (meV/atom): 68.5
Uncorrected formation energy (eV/atom): -0.76

Cell: 8.9747 3.6524 8.1833 Å, 90.00 120.97 90.00°
Closest atoms and distances in Å follow each position.
Space group Cm (No. 8)
One atom of each set of equivalent atoms:
Li 0.0000 0.0000 0.0000 x2  4 Cl 2.63-2.72, 3 Pt 2.77-2.91
Li 0.0359 0.5000 0.3243 x2  2 Cl 2.40-2.68, 1 Pt 2.63
Pt 0.2702 0.5000 0.1695 x2  2 Cl 2.51, 2 Pt 2.56, 4 Li 2.74-2.77
Pt 0.2818 0.0000 0.3957 x2  2 Cl 2.45, 2 Pt 2.56, 3 Li 2.63-2.69
Cl 0.2734 0.0000 0.9608 x2  2 Pt 2.51, 4 Li 2.63-2.68
Cl 0.3144 0.5000 0.6120 x2  1 Li 2.40, 2 Pt 2.45

***

Among the records above, which one has the highest E? BaSrCa2Mg